1:
## K2LiHgF6 (PBE)

Data for K2LiHgF6 after structural relaxation.

a = 5.789 Å, b = 5.789 Å, c = 5.884 Å
α = 120.27°, β = 120.27°, γ = 59.84°
Element x y z (fractional)
F 0.293 0.765 0.291
Li 0.500 0.500 0.500
Hg 0.000 0.000 0.000
F 0.765 0.293 0.291
F 0.235 0.707 0.709
K 0.248 0.248 0.745
F 0.262 0.262 0.207
K 0.752 0.752 0.255
F 0.707 0.235 0.709
F 0.738 0.738 0.793


2:
## K2LiHgF6 (PBE)

Data for K2LiHgF6 after structural relaxation.

a = 5.814 Å, b = 5.814 Å, c = 5.814 Å
α = 120.89°, β = 120.89°, γ = 88.47°
Element x y z (fractional)
F 0.695 0.222 0.917
F 0.264 0.264 0.000
F 0.778 0.695 0.474
F 0.736 0.736 0.000
F 0.222 0.305 0.526
Hg 0.000 0.000 0.000
Li 0.500 0.500 0.000
K 0.250 0.750 0.500
F 0.305 0.778 0.083
K 0.750 0.250 0.500


3:
## K2LiHgF6 (PBE)

Data for K2LiHgF6 after structural relaxation.

a = 10.565 Å, b = 10.565 Å, c = 10.565 Å
α = 31.32°, β = 31.32°, γ = 31.32°
Element x y z (fractional)
Li 0.590 0.590 0.590
K 0.878 0.878 0.878
F 0.217 0.697 0.217
F 0.783 0.303 0.783
F 0.303 0.783 0.783
F 0.783 0.783 0.303
Hg 0.500 0.500 0.500
Li 0.410 0.410 0.410
F 0.217 0.217 0.697
Hg 0.000 0.000 0.000
K 0.286 0.286 0.286
F 0.885 0.376 0.376
K 0.714 0.714 0.714
F 0.697 0.217 0.217
F 0.376 0.885 0.376
F 0.624 0.115 0.624
F 0.624 0.624 0.115
K 0.122 0.122 0.122
F 0.376 0.376 0.885
F 0.115 0.624 0.624


4:
## K2LiHgF6 (PBE)

Data for K2LiHgF6 after structural relaxation.

a = 5.767 Å, b = 5.771 Å, c = 8.173 Å
α = 90.02°, β = 90.00°, γ = 90.05°
Element x y z (fractional)
F 0.709 0.281 0.500
F 0.449 0.549 0.764
Li 0.950 0.050 0.500
Hg 0.450 0.550 0.500
F 0.949 0.050 0.264
F 0.951 0.050 0.736
K 0.950 0.550 0.250
F 0.212 0.784 0.000
F 0.190 0.819 0.500
Hg 0.950 0.050 0.000
F 0.451 0.550 0.236
F 0.180 0.290 0.499
K 0.450 0.050 0.750
K 0.950 0.550 0.750
F 0.217 0.312 0.001
F 0.688 0.317 0.000
K 0.450 0.050 0.250
F 0.720 0.809 0.501
F 0.683 0.789 0.999
Li 0.450 0.550 0.000


Result of the stability comparison: 3 is the least stable of them.


1:
## Hg2OF2 (PBE)

Data for Hg2OF2 after structural relaxation.

a = 8.068 Å, b = 8.068 Å, c = 5.821 Å
α = 90.00°, β = 90.00°, γ = 90.00°
Element x y z (fractional)
Hg 0.957 0.750 0.500
Hg 0.543 0.750 0.500
O 0.750 0.750 0.274
O 0.250 0.250 0.226
F 0.563 0.063 0.250
F 0.937 0.063 0.250
F 0.437 0.563 0.750
O 0.250 0.250 0.726
Hg 0.043 0.250 0.500
F 0.063 0.937 0.750
F 0.563 0.437 0.250
Hg 0.750 0.543 0.000
Hg 0.750 0.957 0.000
F 0.937 0.437 0.250
Hg 0.457 0.250 0.500
F 0.437 0.937 0.750
F 0.063 0.563 0.750
Hg 0.250 0.043 0.000
Hg 0.250 0.457 0.000
O 0.750 0.750 0.774


2:
## Hg2OF2 (PBE)

Data for Hg2OF2 after structural relaxation.

a = 6.623 Å, b = 6.623 Å, c = 7.115 Å
α = 117.74°, β = 117.74°, γ = 90.00°
Element x y z (fractional)
Hg 0.000 0.500 0.000
F 0.152 0.402 0.304
O 0.125 0.875 0.250
O 0.875 0.125 0.750
Hg 0.000 0.000 0.000
Hg 0.000 0.000 0.500
Hg 0.500 0.000 0.500
F 0.402 0.152 0.804
F 0.848 0.598 0.696
F 0.598 0.848 0.196


3:
## Hg2OF2 (PBE)

Data for Hg2OF2 after structural relaxation.

a = 5.381 Å, b = 5.640 Å, c = 6.340 Å
α = 116.41°, β = 115.11°, γ = 90.00°
Element x y z (fractional)
O 0.250 0.000 0.000
F 0.162 0.541 0.325
Hg 0.891 0.136 0.783
O 0.750 0.000 0.000
F 0.338 0.217 0.675
Hg 0.109 0.864 0.217
Hg 0.609 0.353 0.217
Hg 0.391 0.647 0.783
F 0.662 0.783 0.325
F 0.838 0.459 0.675


Result of the stability comparison: 1 is the least stable of them.


1:
## Rb2HgF6 (PBE)

Data for Rb2HgF6 after structural relaxation.

a = 5.909 Å, b = 5.909 Å, c = 4.672 Å
α = 90.00°, β = 90.00°, γ = 120.00°
Element x y z (fractional)
Rb 0.333 0.667 0.723
F 0.648 0.824 0.234
F 0.176 0.824 0.234
F 0.176 0.352 0.234
Hg 0.000 0.000 0.000
F 0.824 0.648 0.766
Rb 0.667 0.333 0.277
F 0.824 0.176 0.766
F 0.352 0.176 0.766


2:
## Rb2HgF6 (PBE)

Data for Rb2HgF6 after structural relaxation.

a = 5.832 Å, b = 5.832 Å, c = 5.842 Å
α = 119.94°, β = 119.94°, γ = 60.26°
Element x y z (fractional)
F 0.754 0.246 0.254
F 0.754 0.246 0.746
Rb 0.249 0.249 0.250
Hg 0.500 0.500 0.000
F 0.246 0.754 0.746
F 0.245 0.245 0.745
F 0.246 0.754 0.254
Rb 0.751 0.751 0.750
F 0.755 0.755 0.255


Result of the stability comparison: 2 is the least stable of them.


1:
## Rb3HgF6 (PBE)

Data for Rb3HgF6 after structural relaxation.

a = 6.483 Å, b = 6.483 Å, c = 6.483 Å
α = 122.68°, β = 122.68°, γ = 85.42°
Element x y z (fractional)
F 0.764 0.764 0.000
F 0.680 0.129 0.809
F 0.320 0.871 0.191
F 0.129 0.320 0.448
Hg 0.000 0.000 0.000
Rb 0.250 0.750 0.500
Rb 0.500 0.500 0.000
Rb 0.750 0.250 0.500
F 0.871 0.680 0.552
F 0.236 0.236 0.000


2:
## Rb3HgF6 (PBE)

Data for Rb3HgF6 after structural relaxation.

a = 6.383 Å, b = 6.692 Å, c = 10.985 Å
α = 90.00°, β = 125.08°, γ = 90.00°
Element x y z (fractional)
F 0.112 0.054 0.725
Hg 0.000 0.000 0.500
F 0.324 0.183 0.547
F 0.246 0.770 0.069
Rb 0.730 0.555 0.248
F 0.324 0.317 0.047
F 0.676 0.817 0.453
Hg 0.000 0.500 0.000
F 0.754 0.230 0.931
F 0.246 0.730 0.569
Rb 0.500 0.000 0.000
F 0.112 0.446 0.225
F 0.754 0.270 0.431
F 0.888 0.554 0.775
Rb 0.270 0.445 0.752
F 0.676 0.683 0.953
Rb 0.500 0.500 0.500
F 0.888 0.946 0.275
Rb 0.270 0.055 0.252
Rb 0.730 0.945 0.748


Result of the stability comparison: 1 is the least stable of them.


1:
## Rb2ZnHgF6 (PBE)

Data for Rb2ZnHgF6 after structural relaxation.

a = 5.898 Å, b = 5.898 Å, c = 11.363 Å
α = 90.00°, β = 90.00°, γ = 120.00°
Element x y z (fractional)
F 0.635 0.743 0.863
Hg 0.000 0.000 0.750
F 0.743 0.108 0.137
F 0.892 0.635 0.137
Hg 0.000 0.000 0.250
F 0.365 0.108 0.363
F 0.108 0.365 0.863
F 0.257 0.365 0.637
Rb 0.333 0.667 0.437
Rb 0.667 0.333 0.563
Zn 0.333 0.667 0.750
F 0.892 0.257 0.363
F 0.108 0.743 0.637
Zn 0.667 0.333 0.250
F 0.635 0.892 0.637
F 0.743 0.635 0.363
Rb 0.667 0.333 0.937
F 0.257 0.892 0.863
F 0.365 0.257 0.137
Rb 0.333 0.667 0.063


2:
## Rb2ZnHgF6 (PBE)

Data for Rb2ZnHgF6 after structural relaxation.

a = 6.029 Å, b = 6.029 Å, c = 6.029 Å
α = 59.02°, β = 59.02°, γ = 59.02°
Element x y z (fractional)
F 0.240 0.796 0.735
F 0.796 0.735 0.240
F 0.762 0.204 0.266
F 0.735 0.240 0.796
F 0.266 0.762 0.204
Zn 0.000 0.000 0.000
Hg 0.500 0.500 0.500
Rb 0.249 0.249 0.249
F 0.204 0.266 0.762
Rb 0.751 0.751 0.751


Result of the stability comparison: 1 is the least stable of them.


1:
## ZrTlHgF7 (PBE)

Data for ZrTlHgF7 after structural relaxation.

a = 6.404 Å, b = 6.404 Å, c = 8.483 Å
α = 90.00°, β = 90.00°, γ = 115.94°
Element x y z (fractional)
F 0.277 0.723 0.016
F 0.345 0.068 0.750
Zr 0.300 0.700 0.250
F 0.514 0.486 0.750
Hg 0.690 0.310 0.250
Tl 0.000 0.000 0.000
Tl 0.000 0.000 0.500
F 0.723 0.277 0.516
F 0.277 0.723 0.484
Hg 0.310 0.690 0.750
F 0.932 0.655 0.750
F 0.962 0.686 0.250
F 0.655 0.932 0.250
F 0.038 0.314 0.750
F 0.314 0.038 0.250
Zr 0.700 0.300 0.750
F 0.723 0.277 0.984
F 0.068 0.345 0.250
F 0.486 0.514 0.250
F 0.686 0.962 0.750


2:
## ZrTlHgF7 (PBE)

Data for ZrTlHgF7 after structural relaxation.

a = 6.365 Å, b = 8.509 Å, c = 6.369 Å
α = 90.00°, β = 115.58°, γ = 90.00°
Element x y z (fractional)
F 0.576 0.250 0.840
F 0.180 0.750 0.464
F 0.532 0.750 0.816
F 0.007 0.750 0.989
F 0.468 0.250 0.184
Zr 0.193 0.750 0.802
Hg 0.198 0.250 0.806
F 0.820 0.250 0.536
Tl 0.500 0.000 0.500
F 0.835 0.750 0.572
F 0.165 0.250 0.428
F 0.216 0.983 0.779
F 0.216 0.517 0.779
F 0.424 0.750 0.160
F 0.784 0.017 0.221
Zr 0.807 0.250 0.198
F 0.993 0.250 0.011
F 0.784 0.483 0.221
Hg 0.802 0.750 0.194
Tl 0.500 0.500 0.500


Result of the stability comparison: 2 is the least stable of them.